A plane-wave DFT calculation with GGA+U was carried out for an optimized crystal structure of Rb2UFe2O6.

POSCAR file:
```
Rb2UFe2O6
1.0
5.645 0.040 -0.051
-2.755 4.927 -0.051
-1.152 -1.981 6.637
O Fe Rb U
6 2 2 1
Cartesian
-1.513 0.529 4.419
3.250 2.457 2.117
0.354 0.608 2.241
0.530 4.039 2.117
1.207 -1.054 4.419
1.383 2.377 4.294
-0.518 2.299 3.268
2.255 0.686 3.268
4.182 0.891 -0.051
-1.293 4.076 -0.051
-0.576 -0.990 3.318
```

- Total magnetization: 8.0 μB/f.u.
- Final energy: -77.2 eV for the cell shown
- V: 184 Å³ per cell